Material: TlCoP2O8
Method: DFT, PBE+U
State: relaxed

- total magnetic moment (μB per formula unit) = 0.9
- calculated total energy (eV/atom) = -6.3070
- ρ (Mg/m³) = 4.97
- symmetry = No. 148

Cell and atoms, written as extended XYZ:
```
12
Lattice="-1.395 -4.041 -1.957 -0.618 -3.817 2.674 -8.223 -0.578 1.408" Properties=species:S:1:pos:R:3 pbc="T T T"
Tl -5.118 -4.218 1.063
Co 0.000 0.000 0.000
P -2.165 -2.216 0.470
P -8.071 -6.220 1.655
O -3.659 -1.812 0.702
O -2.183 -3.551 -0.321
O -6.578 -6.624 1.424
O -2.921 -6.418 -0.082
O -7.315 -2.018 2.207
O -2.132 -4.881 2.334
O -8.105 -3.555 -0.208
O -8.053 -4.885 2.447
```